1.
This record from OQMD via LeMat-Bulk describes a relaxed structure of NaSrTaNi. The functional is PBE.

a = 4.962 Å, b = 4.962 Å, c = 4.962 Å
α = 60.00°, β = 60.00°, γ = 60.00°
Atoms (fractional coordinates):
1 Ta 0.500 0.500 0.500
2 Ni 0.250 0.250 0.250
3 Na 0.750 0.750 0.750
4 Sr 0.000 0.000 0.000

Computed properties:
- Crystal system: cubic
- Excess energy over the best structure of this formula in the dataset: 0.0 meV per atom

2.
This record from OQMD via LeMat-Bulk describes a relaxed structure of SrCo2. The functional is PBE.

a = 5.755 Å, b = 4.013 Å, c = 10.579 Å
α = 90.00°, β = 90.00°, γ = 90.00°
Each line ends with the local moment (μB).
Atoms (fractional coordinates):
1 Sr 0.882 0.250 0.139  -0.07
2 Sr 0.618 0.750 0.639  -0.08
3 Sr 0.382 0.250 0.361  -0.08
4 Sr 0.118 0.750 0.861  -0.07
5 Co 0.138 0.250 0.638  1.58
6 Co 0.601 0.750 0.960  1.41
7 Co 0.362 0.750 0.138  1.59
8 Co 0.862 0.750 0.362  1.58
9 Co 0.638 0.250 0.862  1.59
10 Co 0.399 0.250 0.040  1.41
11 Co 0.899 0.250 0.460  1.42
12 Co 0.101 0.750 0.540  1.42

Computed properties:
- Crystal system: orthorhombic
- Total energy: -4.97 eV per atom

| no. | calculated density (g/cm³) | magnetization (μB per formula unit) |
| --- | --- | --- |
| 1 | 6.73 | 1.70 |
| 2 | 5.59 | 2.67 |